(1)
DFT (PBE-GGA) results for a relaxed structure of CeAsRu2C.

The calculation puts the total energy at -8.188 eV per atom. As for the space group: Cmcm (63).

Cell: 5.9635 5.9635 7.2608 Å, 90.00 90.00 141.13°
Closest atoms and distances in Å follow each position.
Fractional positions:
Ce (0.0497, 0.9503, 0.7500)  4 C 2.75
Ce (0.9503, 0.0497, 0.2500)  4 C 2.75
As (0.2280, 0.7720, 0.2500)  6 Ru 2.52-2.55
As (0.7720, 0.2280, 0.7500)  6 Ru 2.52-2.55
Ru (0.3374, 0.6626, 0.5530)  1 C 1.87
Ru (0.3374, 0.6626, 0.9470)  1 C 1.87
Ru (0.6626, 0.3374, 0.0530)  1 C 1.87
Ru (0.6626, 0.3374, 0.4470)  1 C 1.87
C (0.5000, 0.5000, 0.0000)  2 Ru 1.87
C (0.5000, 0.5000, 0.5000)  2 Ru 1.87



(2)
DFT (PBE-GGA) results for a relaxed structure of Ac3La5Sm2.

The calculation puts the total energy at -4.474 eV per atom. As for the space group: C2/c (15).

Cell: 9.4206 9.4206 10.7376 Å, 108.12 108.12 106.35°
Closest atoms and distances in Å follow each position.
Fractional positions:
Ac (0.0116, 0.9884, 0.7500)  3 La 3.31-3.54, 2 Sm 3.60
Ac (0.2226, 0.4746, 0.4455)  1 Sm 3.52, 5 La 3.53-3.73, 1 Ac 3.78
Ac (0.4746, 0.2226, 0.9455)  1 Sm 3.52, 5 La 3.53-3.73, 1 Ac 3.78
Ac (0.5254, 0.7774, 0.0545)  1 Sm 3.52, 5 La 3.53-3.73, 1 Ac 3.78
Ac (0.7774, 0.5254, 0.5545)  1 Sm 3.52, 5 La 3.53-3.73, 1 Ac 3.78
Ac (0.9884, 0.0116, 0.2500)  3 La 3.31-3.54, 2 Sm 3.60
La (0.1257, 0.3806, 0.7513)  3 La 3.50-3.64, 1 Ac 3.54
La (0.2309, 0.7691, 0.7500)  3 Ac 3.31-3.53, 2 La 3.52, 2 Sm 3.64
La (0.2616, 0.7384, 0.2500)  3 La 3.18-3.50, 2 Sm 3.46
La (0.3806, 0.1257, 0.2513)  3 La 3.50-3.64, 1 Ac 3.54
La (0.4727, 0.5273, 0.2500)  1 La 3.18
La (0.5273, 0.4727, 0.7500)  1 La 3.18
La (0.6194, 0.8743, 0.7487)  3 La 3.50-3.64, 1 Ac 3.54
La (0.7384, 0.2616, 0.7500)  3 La 3.18-3.50, 2 Sm 3.46
La (0.7691, 0.2309, 0.2500)  3 Ac 3.31-3.53, 2 La 3.52, 2 Sm 3.64
La (0.8743, 0.6194, 0.2487)  3 La 3.50-3.64, 1 Ac 3.54
Sm (0.0264, 0.2918, 0.0617)  4 La 3.46-3.66, 3 Ac 3.52-3.80
Sm (0.2918, 0.0264, 0.5617)  4 La 3.46-3.66, 3 Ac 3.52-3.80
Sm (0.7082, 0.9736, 0.4383)  4 La 3.46-3.66, 3 Ac 3.52-3.80
Sm (0.9736, 0.7082, 0.9383)  4 La 3.46-3.66, 3 Ac 3.52-3.80



(3)
DFT (PBE-GGA) results for a relaxed structure of Al3AgGe.

Its distance to the lowest polymorph of the same formula is 0 meV per atom. As for the space group: Pm-3m (221).

Cell: 4.8462 4.8462 4.8462 Å, 90.00 90.00 90.00°
Closest atoms and distances in Å follow each position.
Fractional positions:
Al (0.0000, 0.0000, 0.5000)  2 Ag 2.42
Al (0.0000, 0.5000, 0.0000)  2 Ag 2.42
Al (0.5000, 0.0000, 0.0000)  2 Ag 2.42
Ag (0.0000, 0.0000, 0.0000)  6 Al 2.42
Ge (0.5000, 0.5000, 0.5000)  12 Al 3.43



(4)
DFT (PBE-GGA) results for a relaxed structure of HgMo2IN.

The calculation puts the total energy at -4.099 eV per atom. As for the space group: P4/mmm (123).

Cell: 5.6463 5.6463 4.0271 Å, 90.00 90.00 90.00°
Closest atoms and distances in Å follow each position.
Fractional positions:
Hg (0.0000, 0.0000, 0.0000)  2 N 2.01
Mo (0.0000, 0.5000, 0.0000)  2 Hg 2.82
Mo (0.5000, 0.0000, 0.0000)  2 Hg 2.82
I (0.5000, 0.5000, 0.5000)  8 Mo 3.47
N (0.0000, 0.0000, 0.5000)  2 Hg 2.01



(5)
DFT (PBE-GGA) results for a relaxed structure of HoBeAlAg.

The calculation puts the total energy at -3.848 eV per atom. As for the space group: F-43m (216).

Cell: 4.6447 4.6447 4.6447 Å, 60.00 60.00 60.00°
Closest atoms and distances in Å follow each position.
Fractional positions:
Ho (0.0000, 0.0000, 0.0000)  4 Be 2.84, 4 Ag 2.84
Be (0.7500, 0.7500, 0.7500)  4 Ho 2.84, 4 Al 2.84
Al (0.5000, 0.5000, 0.5000)  4 Be 2.84, 4 Ag 2.84
Ag (0.2500, 0.2500, 0.2500)  4 Ho 2.84, 4 Al 2.84



(6)
DFT (PBE-GGA) results for a relaxed structure of TbAl6.

The calculation puts the total energy at -3.362 eV per atom. As for the space group: Im-3m (229).

Cell: 6.1658 6.1658 6.1658 Å, 109.47 109.47 109.47°
Closest atoms and distances in Å follow each position.
Fractional positions:
Tb (0.0000, 0.0000, 0.0000)  24 Al 3.98
Al (0.2500, 0.5000, 0.7500)  4 Al 2.52
Al (0.2500, 0.7500, 0.5000)  4 Al 2.52
Al (0.5000, 0.2500, 0.7500)  4 Al 2.52
Al (0.5000, 0.7500, 0.2500)  4 Al 2.52
Al (0.7500, 0.2500, 0.5000)  4 Al 2.52
Al (0.7500, 0.5000, 0.2500)  4 Al 2.52



(7)
DFT (PBE-GGA) results for a relaxed structure of CdPd6Pt.

Its distance to the lowest polymorph of the same formula is 490 meV per atom. As for the space group: R-3m (166).

Cell: 5.3275 5.3275 5.3275 Å, 86.40 86.40 86.40°
Closest atoms and distances in Å follow each position.
Fractional positions:
Cd (0.0000, 0.0000, 0.0000)  6 Pd 2.68
Pd (0.1644, 0.1644, 0.5372)  1 Pt 2.60, 5 Pd 2.62-2.78, 1 Cd 2.68
Pd (0.1644, 0.5372, 0.1644)  1 Pt 2.60, 5 Pd 2.62-2.78, 1 Cd 2.68
Pd (0.4628, 0.8356, 0.8356)  1 Pt 2.60, 5 Pd 2.62-2.78, 1 Cd 2.68
Pd (0.5372, 0.1645, 0.1644)  1 Pt 2.60, 5 Pd 2.62-2.78, 1 Cd 2.68
Pd (0.8356, 0.4628, 0.8356)  1 Pt 2.60, 5 Pd 2.62-2.78, 1 Cd 2.68
Pd (0.8356, 0.8356, 0.4628)  1 Pt 2.60, 5 Pd 2.62-2.78, 1 Cd 2.68
Pt (0.5000, 0.5000, 0.5000)  6 Pd 2.60



(8)
DFT (PBE-GGA) results for a relaxed structure of Sr2CdNiAs.

The calculation puts the total energy at -3.157 eV per atom. As for the space group: P4/mmm (123).

Cell: 5.5062 5.5062 4.8479 Å, 90.00 90.00 90.00°
Closest atoms and distances in Å follow each position.
Fractional positions:
Sr (0.0000, 0.5000, 0.0000)  2 Ni 2.75
Sr (0.5000, 0.0000, 0.0000)  2 Ni 2.75
Cd (0.0000, 0.0000, 0.5000)  2 Ni 2.42
Ni (0.0000, 0.0000, 0.0000)  2 Cd 2.42
As (0.5000, 0.5000, 0.5000)  8 Sr 3.67, 4 Cd 3.89



Magnetic moment per entry: 1.1, 0.0, 0.0, 9.4, 0.0, 0.0, 0.0, 0.0 μB per cell